A geometry-optimized Ba12P5N2 structure. Source: Alexandria via LeMat-Bulk, functional PBE.

```
Ba12P5N2
1.0
8.891 -4.120 0.000
8.891 4.120 0.000
-2.893 0.000 9.842
Ba P N
12 5 2
Cartesian
-0.534 0.000 1.849 Ba
3.273 2.151 8.969 Ba
4.996 2.067 4.222 Ba
9.893 2.067 5.619 Ba
11.616 2.151 0.873 Ba
8.241 0.000 1.758 Ba
6.649 0.000 8.084 Ba
3.273 -2.151 8.969 Ba
4.996 -2.067 4.222 Ba
9.893 -2.067 5.619 Ba
11.616 -2.151 0.873 Ba
15.424 0.000 7.993 Ba
0.869 0.000 8.246 P
2.428 0.000 3.454 P
7.445 0.000 4.921 P
12.462 0.000 6.388 P
14.021 0.000 1.596 P
8.891 2.040 0.000 N
8.891 -2.040 0.000 N
```

Crystal system ... monoclinic
Formation energy (no corrections) ... -734 meV/atom
M_tot ... 0.15 μB per atom
DOS(E_F) ... 5.23 states/eV per cell